The following is a DFT calculation (PBE with a Hubbard U) of CaCrIn2F6 after structural relaxation.

The value obtained for the density of states at the Fermi level is 0.00 states/eV per atom. The value obtained for the spin magnetization is 8.00 μB/cell. For the total energy, the calculation gives -5.2007 eV/atom.

The structure belongs to space group Pmmn (No. 59, origin choice 2); the cell edges are 6.041, 9.365 and 6.139 Å and the angles 90.00°, 90.00° and 90.00°. The asymmetric unit holds Ca at (0.250, 0.250, 0.242), Cr at (0.250, 0.750, 0.246), In at (0.250, 0.009, 0.714), F at (0.009, 0.750, 0.481), F at (0.012, 0.750, 0.015) and F at (0.250, 0.011, 0.315).